# 1
The following is a GGA-PBEsol calculation of an optimized crystal structure of SbW2Se, from Alexandria via LeMat-Bulk.

a b c (Å): 4.9002 4.9002 4.9002
angles (deg): 128.97 128.97 75.06
Last column: nearest neighbours and their distance in Å.
Atoms (fractional coordinates):
1 Sb 0.0000 0.0000 0.0000  4 Se 2.87, 8 W 2.87-2.99
2 W 0.2500 0.7500 0.5000  4 Sb 2.87, 4 W 2.87, 4 Se 2.99
3 W 0.5000 0.5000 0.0000  4 Se 2.87, 4 W 2.87, 4 Sb 2.99
4 Se 0.7500 0.2500 0.5000  8 W 2.87-2.99, 4 Sb 2.87

Properties
**ΔE to the lowest computed polymorph**: 535 meV/atom
**ΔE_f (raw)**: 2.83 eV/f.u.



# 2
The following is a GGA-PBEsol calculation of an optimized crystal structure of Sb2WSe, from Alexandria via LeMat-Bulk.

a b c (Å): 4.8384 4.8384 4.8384
angles (deg): 60.00 60.00 60.00
Last column: nearest neighbours and their distance in Å.
Atoms (fractional coordinates):
1 Sb 0.2500 0.2500 0.2500  4 W 2.96, 4 Se 2.96
2 Sb 0.7500 0.7500 0.7500  4 Se 2.96, 4 W 2.96
3 W 0.0000 0.0000 0.0000  8 Sb 2.96
4 Se 0.5000 0.5000 0.5000  8 Sb 2.96

Properties
**ΔE_f (raw)**: 3.08 eV/f.u.



# 3
The following is a GGA-PBEsol calculation of an optimized crystal structure of SbW2Se, from Alexandria via LeMat-Bulk.

a b c (Å): 4.5447 3.0616 5.3155
angles (deg): 90.00 112.30 90.00
Last column: nearest neighbours and their distance in Å.
Atoms (fractional coordinates):
1 Sb 0.0000 0.0000 0.0000  6 W 2.74-2.76, 2 Sb 3.06, 4 Se 3.07
2 W 0.5000 0.0000 0.5000  4 Se 2.74, 2 Sb 2.76, 6 W 3.06-3.07
3 W 0.5000 0.5000 0.0000  4 Sb 2.74, 2 Se 2.76, 6 W 3.06-3.07
4 Se 0.0000 0.5000 0.5000  6 W 2.74-2.76, 2 Se 3.06, 4 Sb 3.07

Properties
**ΔE to the lowest computed polymorph**: 417 meV/atom
**ΔE_f (raw)**: 2.36 eV/f.u.



# 4
The following is a GGA-PBEsol calculation of an optimized crystal structure of YSb4Se, from Alexandria via LeMat-Bulk.

a b c (Å): 6.0806 6.0806 6.0806
angles (deg): 60.00 60.00 60.00
Last column: nearest neighbours and their distance in Å.
Atoms (fractional coordinates):
1 Y 0.0000 0.0000 0.0000  12 Sb 3.57, 4 Se 3.72
2 Sb 0.3761 0.3761 0.3761  6 Sb 3.01-3.07
3 Sb 0.3761 0.3761 0.8716  6 Sb 3.01-3.07
4 Sb 0.3761 0.8716 0.3761  6 Sb 3.01-3.07
5 Sb 0.8716 0.3761 0.3761  6 Sb 3.01-3.07
6 Se 0.7500 0.7500 0.7500  12 Sb 3.56, 4 Y 3.72

Properties
**ΔE_f (raw)**: -0.57 eV/f.u.



# 5
The following is a GGA-PBEsol calculation of an optimized crystal structure of YSb3Se, from Alexandria via LeMat-Bulk.

a b c (Å): 5.2733 5.2733 5.2733
angles (deg): 90.00 90.00 90.00
Last column: nearest neighbours and their distance in Å.
Atoms (fractional coordinates):
1 Y 0.0000 0.0000 0.0000  12 Sb 3.73
2 Sb 0.0000 0.5000 0.5000  2 Se 2.64
3 Sb 0.5000 0.0000 0.5000  2 Se 2.64
4 Sb 0.5000 0.5000 0.0000  2 Se 2.64
5 Se 0.5000 0.5000 0.5000  6 Sb 2.64

Properties
**ΔE_f (raw)**: 0.62 eV/f.u.



# 6
The following is a GGA-PBEsol calculation of an optimized crystal structure of Y2SbSe, from Alexandria via LeMat-Bulk.

a b c (Å): 7.2188 7.2188 7.2188
angles (deg): 33.69 33.69 33.69
Last column: nearest neighbours and their distance in Å.
Atoms (fractional coordinates):
1 Y 0.2456 0.2456 0.2456  3 Se 2.90, 3 Sb 3.01
2 Y 0.7544 0.7544 0.7544  3 Se 2.90, 3 Sb 3.01
3 Sb 0.0000 0.0000 0.0000  6 Y 3.01
4 Se 0.5000 0.5000 0.5000  6 Y 2.90

Properties
**ΔE to the lowest computed polymorph**: 0 meV/atom
**ΔE_f (raw)**: -6.13 eV/f.u.



# 7
The following is a GGA-PBEsol calculation of an optimized crystal structure of Y2SbSe, from Alexandria via LeMat-Bulk.

a b c (Å): 4.1899 4.1899 5.9119
angles (deg): 90.00 90.00 90.00
Last column: nearest neighbours and their distance in Å.
Atoms (fractional coordinates):
1 Y 0.0000 0.0000 0.0000  2 Sb 2.96, 4 Se 2.96
2 Y 0.5000 0.5000 0.5000  2 Se 2.96, 4 Sb 2.96
3 Sb 0.0000 0.0000 0.5000  6 Y 2.96
4 Se 0.5000 0.5000 0.0000  6 Y 2.96

Properties
**ΔE to the lowest computed polymorph**: 13 meV/atom
**ΔE_f (raw)**: -6.08 eV/f.u.



# 8
The following is a GGA-PBEsol calculation of an optimized crystal structure of Y2SbSe, from Alexandria via LeMat-Bulk.

a b c (Å): 6.3581 6.3581 6.3581
angles (deg): 141.37 141.37 55.79
Last column: nearest neighbours and their distance in Å.
Atoms (fractional coordinates):
1 Y 0.0000 0.0000 0.0000  4 Sb 2.97
2 Y 0.7500 0.2500 0.5000  4 Se 2.97
3 Sb 0.5000 0.5000 0.0000  4 Y 2.97
4 Se 0.2500 0.7500 0.5000  4 Y 2.97

Properties
**ΔE to the lowest computed polymorph**: 475 meV/atom
**ΔE_f (raw)**: -4.23 eV/f.u.



# 9
The following is a GGA-PBEsol calculation of an optimized crystal structure of YSb2Se, from Alexandria via LeMat-Bulk.

a b c (Å): 5.2252 5.2252 3.6941
angles (deg): 90.00 90.00 105.14
Last column: nearest neighbours and their distance in Å.
Atoms (fractional coordinates):
1 Y 0.0000 0.0000 0.0000  2 Se 3.18, 8 Sb 3.20
2 Sb 0.0000 0.5000 0.5000  2 Sb 3.18, 4 Se 3.20, 4 Y 3.20
3 Sb 0.5000 0.0000 0.5000  2 Sb 3.18, 4 Se 3.20, 4 Y 3.20
4 Se 0.5000 0.5000 0.0000  2 Y 3.18, 8 Sb 3.20

Properties
**ΔE_f (raw)**: -1.98 eV/f.u.



# 10
The following is a GGA-PBEsol calculation of an optimized crystal structure of ZnSbSe2, from Alexandria via LeMat-Bulk.

a b c (Å): 7.1371 7.1371 7.1371
angles (deg): 31.33 31.33 31.33
Last column: nearest neighbours and their distance in Å.
Atoms (fractional coordinates):
1 Zn 0.0000 0.0000 0.0000  6 Se 2.67
2 Sb 0.5000 0.5000 0.5000  6 Se 2.93
3 Se 0.2606 0.2606 0.2606  3 Zn 2.67, 3 Sb 2.93
4 Se 0.7394 0.7394 0.7394  3 Zn 2.67, 3 Sb 2.93

Properties
**ΔE to the lowest computed polymorph**: 0 meV/atom
**ΔE_f (raw)**: -0.84 eV/f.u.



# 11
The following is a GGA-PBEsol calculation of an optimized crystal structure of ZnSbSe3, from Alexandria via LeMat-Bulk.

a b c (Å): 5.2203 5.2203 5.2203
angles (deg): 90.00 90.00 90.00
Last column: nearest neighbours and their distance in Å.
Atoms (fractional coordinates):
1 Zn 0.0000 0.0000 0.0000  12 Se 3.69
2 Sb 0.5000 0.5000 0.5000  6 Se 2.61
3 Se 0.0000 0.5000 0.5000  2 Sb 2.61
4 Se 0.5000 0.0000 0.5000  2 Sb 2.61
5 Se 0.5000 0.5000 0.0000  2 Sb 2.61

Properties
**ΔE_f (raw)**: 2.69 eV/f.u.



# 12
The following is a GGA-PBEsol calculation of an optimized crystal structure of ZnSbSe2, from Alexandria via LeMat-Bulk.

a b c (Å): 3.4041 4.5748 5.2743
angles (deg): 90.00 90.00 90.00
Last column: nearest neighbours and their distance in Å.
Atoms (fractional coordinates):
1 Zn 0.0000 0.0000 0.0000  4 Sb 2.85, 4 Se 3.14
2 Sb 0.5000 0.5000 0.0000  4 Zn 2.85, 4 Se 3.14
3 Se 0.0000 0.5000 0.5000  4 Se 2.85, 4 Sb 3.14
4 Se 0.5000 0.0000 0.5000  4 Se 2.85, 4 Zn 3.14

Properties
**ΔE to the lowest computed polymorph**: 425 meV/atom
**ΔE_f (raw)**: 0.86 eV/f.u.



# 13
The following is a GGA-PBEsol calculation of an optimized crystal structure of Zn2SbSe, from Alexandria via LeMat-Bulk.

a b c (Å): 3.7377 3.9759 6.2175
angles (deg): 90.00 90.00 90.00
Last column: nearest neighbours and their distance in Å.
Atoms (fractional coordinates):
1 Zn 0.0000 0.0000 0.0000  2 Se 2.50, 4 Zn 2.73, 2 Sb 2.76
2 Zn 0.5000 0.5000 0.0269  2 Se 2.52, 2 Sb 2.72, 4 Zn 2.73
3 Sb 0.5000 0.0000 0.3258  4 Zn 2.72-2.76
4 Se 0.0000 0.5000 0.7560  4 Zn 2.50-2.52

Properties
**ΔE_f (raw)**: -0.62 eV/f.u.



# 14
The following is a GGA-PBEsol calculation of an optimized crystal structure of ZrSbSe3, from Alexandria via LeMat-Bulk.

a b c (Å): 5.1208 5.1208 5.1208
angles (deg): 90.00 90.00 90.00
Last column: nearest neighbours and their distance in Å.
Atoms (fractional coordinates):
1 Zr 0.0000 0.0000 0.0000  6 Se 2.56
2 Sb 0.5000 0.5000 0.5000  12 Se 3.62
3 Se 0.0000 0.0000 0.5000  2 Zr 2.56
4 Se 0.0000 0.5000 0.0000  2 Zr 2.56
5 Se 0.5000 0.0000 0.0000  2 Zr 2.56

Properties
**ΔE to the lowest computed polymorph**: 0 meV/atom
**ΔE_f (raw)**: -1.40 eV/f.u.



| no. | total moment (Bohr magnetons per cell) |
| --- | --- |
| 1 | 0.00 |
| 2 | 0.00 |
| 3 | 0.00 |
| 4 | 0.00 |
| 5 | 0.00 |
| 6 | 0.00 |
| 7 | 0.00 |
| 8 | 0.00 |
| 9 | 0.00 |
| 10 | 0.00 |
| 11 | 0.00 |
| 12 | 0.00 |
| 13 | 0.00 |
| 14 | 0.00 |